Record 1
The following is a PBE-GGA calculation of a relaxed LaTb5Er2Th crystal, from Alexandria. Values from VASP.

E = -4.79 eV per atom
ΔH_f (0 K) = 0.17 eV/atom

```
&SYSTEM
  ibrav = 0, nat = 18, ntyp = 4
/
ATOMIC_SPECIES
La 138.91 La.upf
Tb 158.93 Tb.upf
Er 167.26 Er.upf
Th 232.04 Th.upf
ATOMIC_POSITIONS crystal
La 0.5850 0.1699 0.9451
La 0.4150 0.8301 0.4451
Tb 0.3862 0.7723 0.0258
Tb 0.7229 0.4459 0.8170
Tb 0.4780 0.9560 0.7364
Tb 0.2948 0.5896 0.7075
Tb 0.9840 0.9680 0.5251
Tb 0.6138 0.2277 0.5258
Tb 0.2771 0.5541 0.3170
Tb 0.5220 0.0440 0.2364
Tb 0.7052 0.4104 0.2075
Tb 0.0160 0.0320 0.0251
Er 0.8869 0.7739 0.8177
Er 0.1126 0.2252 0.7344
Er 0.1131 0.2261 0.3177
Er 0.8874 0.7748 0.2344
Th 0.7994 0.5989 0.5149
Th 0.2006 0.4011 0.0149
CELL_PARAMETERS angstrom
5.6367 0.0000 0.0000
-2.8184 9.9592 0.0000
0.0000 0.0000 10.5103
```

---

Record 2
The following is a PBE-GGA calculation of a relaxed Li2TaAu crystal, from Alexandria. Values from VASP.

E = -4.40 eV per atom
Energy above the most stable polymorph in this dataset = 325.6 meV/atom
ΔH_f (0 K) = 0.33 eV/atom

```
&SYSTEM
  ibrav = 0, nat = 4, ntyp = 3
/
ATOMIC_SPECIES
Au 196.97 Au.upf
Li 6.94 Li.upf
Ta 180.95 Ta.upf
ATOMIC_POSITIONS crystal
Au 0.0000 0.5000 0.5000
Li 0.0000 0.0000 0.0000
Li 0.5000 0.5000 0.0000
Ta 0.5000 0.0000 0.5000
CELL_PARAMETERS angstrom
-1.5854 1.3732 3.9122
-0.5296 -4.2212 1.2671
2.8276 -0.0098 1.1493
```

---

Record 3
The following is a PBE-GGA calculation of a relaxed Th8SiSe4S3 crystal, from Alexandria. Values from VASP.

E = -7.27 eV per atom

```
&SYSTEM
  ibrav = 0, nat = 16, ntyp = 4
/
ATOMIC_SPECIES
Th 232.04 Th.upf
Si 28.09 Si.upf
Se 78.96 Se.upf
S 32.06 S.upf
ATOMIC_POSITIONS crystal
Th 0.2459 0.7330 0.9871
Th 0.2458 0.7330 0.4916
Th 0.2565 0.2696 0.5130
Th 0.7413 0.7330 0.9871
Th 0.2587 0.2670 0.0129
Th 0.7435 0.7304 0.4870
Th 0.7542 0.2670 0.5084
Th 0.7541 0.2670 0.0129
Si 0.0000 0.5000 0.0000
Se 0.5000 0.0000 0.0000
Se 0.5000 0.0000 0.5000
Se 0.0000 0.0000 0.0000
Se 0.0000 0.0000 0.5000
S 0.5000 0.5000 0.0000
S 0.5000 0.5000 0.5000
S 0.0000 0.5000 0.5000
CELL_PARAMETERS angstrom
-0.6792 7.6429 2.9315
-8.1840 -1.2965 1.4840
5.5232 -5.1579 3.2196
```

---

Record 4
The following is a PBE-GGA calculation of a relaxed PaTl3Cu2Se6 crystal, from Alexandria. Values from VASP.

E = -4.35 eV per atom

```
&SYSTEM
  ibrav = 0, nat = 12, ntyp = 4
/
ATOMIC_SPECIES
Pa 231.04 Pa.upf
Tl 204.38 Tl.upf
Cu 63.55 Cu.upf
Se 78.96 Se.upf
ATOMIC_POSITIONS crystal
Pa 0.0000 0.0000 0.0000
Tl 0.1535 0.8465 0.5000
Tl 0.8465 0.1535 0.5000
Tl 0.5000 0.5000 0.5000
Cu 0.3258 0.6742 0.0000
Cu 0.6742 0.3258 0.0000
Se 0.9852 0.6204 0.7867
Se 0.6997 0.6997 0.1577
Se 0.0148 0.3796 0.2133
Se 0.6204 0.9852 0.7867
Se 0.3003 0.3003 0.8423
Se 0.3796 0.0148 0.2133
CELL_PARAMETERS angstrom
6.5652 0.5159 -0.0665
-2.8341 5.9444 -0.0665
-1.3308 -2.3042 7.9548
```

---

Record 5
The following is a PBE-GGA calculation of a relaxed TbEr2Sn crystal, from Alexandria. Values from VASP.

E = -4.74 eV per atom
Energy above the most stable polymorph in this dataset = 109.8 meV/atom
ΔH_f (0 K) = -0.30 eV/atom

```
&SYSTEM
  ibrav = 0, nat = 4, ntyp = 3
/
ATOMIC_SPECIES
Tb 158.93 Tb.upf
Sn 118.71 Sn.upf
Er 167.26 Er.upf
ATOMIC_POSITIONS crystal
Tb 0.5000 0.5000 0.5000
Sn 0.5000 0.5000 0.0000
Er 0.0000 0.0000 0.7719
Er 0.0000 0.0000 0.2281
CELL_PARAMETERS angstrom
-3.3306 -1.2415 -0.1131
0.3428 -1.2224 3.3219
-3.0974 8.0117 3.2679
```

---

Record 6
The following is a PBE-GGA calculation of a relaxed PmSiRh4 crystal, from Alexandria. Values from VASP.

E = -7.18 eV per atom

```
&SYSTEM
  ibrav = 0, nat = 12, ntyp = 3
/
ATOMIC_SPECIES
Pm 145.00 Pm.upf
Si 28.09 Si.upf
Rh 102.91 Rh.upf
ATOMIC_POSITIONS crystal
Pm 0.0000 0.6290 0.7500
Pm 0.0000 0.3710 0.2500
Si 0.0000 0.2019 0.7500
Si 0.0000 0.7981 0.2500
Rh 0.0000 0.0000 0.5000
Rh 0.0000 0.0000 0.0000
Rh 0.5000 0.9480 0.7500
Rh 0.5000 0.0520 0.2500
Rh 0.5000 0.6993 0.0615
Rh 0.5000 0.3007 0.9385
Rh 0.5000 0.6993 0.4385
Rh 0.5000 0.3007 0.5615
CELL_PARAMETERS angstrom
3.7737 0.0000 0.0000
0.0000 6.9029 0.0000
0.0000 0.0000 7.6362
```

---

Record 7
The following is a PBE-GGA calculation of a relaxed MnGaCoSe2 crystal, from Alexandria. Values from VASP.

E = -5.32 eV per atom
Energy above the most stable polymorph in this dataset = 130.7 meV/atom

```
&SYSTEM
  ibrav = 0, nat = 10, ntyp = 4
/
ATOMIC_SPECIES
Mn 54.94 Mn.upf
Ga 69.72 Ga.upf
Co 58.93 Co.upf
Se 78.96 Se.upf
ATOMIC_POSITIONS crystal
Mn 0.7487 0.0000 0.3124
Mn 0.7487 0.5000 0.8124
Ga 0.2492 0.0000 0.3036
Ga 0.2492 0.5000 0.8036
Co 0.5669 0.0000 0.9679
Co 0.5669 0.5000 0.4679
Se 0.7572 0.0000 0.6450
Se 0.7572 0.5000 0.1450
Se 0.0558 0.0000 0.9679
Se 0.0558 0.5000 0.4679
CELL_PARAMETERS angstrom
5.0254 0.0000 -0.0584
0.0000 3.3046 0.0000
-4.5109 0.0000 10.3817
```

---

Record 8
The following is a PBE-GGA calculation of a relaxed CeTm2As crystal, from Alexandria. Values from VASP.

E = -5.40 eV per atom
ΔH_f (0 K) = -0.51 eV/atom

```
&SYSTEM
  ibrav = 0, nat = 4, ntyp = 3
/
ATOMIC_SPECIES
As 74.92 As.upf
Tm 168.93 Tm.upf
Ce 140.12 Ce.upf
ATOMIC_POSITIONS crystal
As 0.0000 0.0000 0.0000
Tm 0.2719 0.2719 0.1843
Tm 0.7281 0.7281 0.8157
Ce 0.5000 0.5000 0.5000
CELL_PARAMETERS angstrom
-2.0828 -3.0286 0.8867
-1.2965 -2.2688 -2.7328
6.6786 -6.9559 -0.0094
```

---

Record 9
The following is a PBE-GGA calculation of a relaxed ZrMnS2 crystal, from Alexandria. Values from VASP.

E = -6.96 eV per atom
Energy above the most stable polymorph in this dataset = 372.2 meV/atom

```
&SYSTEM
  ibrav = 0, nat = 4, ntyp = 3
/
ATOMIC_SPECIES
S 32.06 S.upf
Mn 54.94 Mn.upf
Zr 91.22 Zr.upf
ATOMIC_POSITIONS crystal
S 0.8921 0.8921 0.8921
S 0.1079 0.1079 0.1079
Mn 0.5000 0.5000 0.5000
Zr 0.0000 0.0000 0.0000
CELL_PARAMETERS angstrom
-1.6236 7.7981 1.1217
0.2743 7.0657 3.8346
1.7583 7.8004 0.8756
```

---

Record 10
The following is a PBE-GGA calculation of a relaxed B2RhBr2 crystal, from Alexandria. Values from VASP.

E = -3.81 eV per atom
Energy above the most stable polymorph in this dataset = 0.0 meV/atom

```
&SYSTEM
  ibrav = 0, nat = 10, ntyp = 3
/
ATOMIC_SPECIES
B 10.81 B.upf
Rh 102.91 Rh.upf
Br 79.90 Br.upf
ATOMIC_POSITIONS crystal
B 0.2320 0.7320 0.0000
B 0.7320 0.7680 0.0000
B 0.7680 0.2680 0.0000
B 0.2680 0.2320 0.0000
Rh 0.0000 0.0000 0.0000
Rh 0.5000 0.5000 0.0000
Br 0.1953 0.6953 0.5000
Br 0.6953 0.8047 0.5000
Br 0.8047 0.3047 0.5000
Br 0.3047 0.1953 0.5000
CELL_PARAMETERS angstrom
-2.0612 4.9803 -3.1166
-4.7472 -3.3577 -2.2260
-2.4767 1.1730 3.5124
```

---

Record 11
The following is a PBE-GGA calculation of a relaxed PmH2Pd crystal, from Alexandria. Values from VASP.

E = -4.69 eV per atom
Energy above the most stable polymorph in this dataset = 0.0 meV/atom

```
&SYSTEM
  ibrav = 0, nat = 4, ntyp = 3
/
ATOMIC_SPECIES
H 1.01 H.upf
Pd 106.42 Pd.upf
Pm 145.00 Pm.upf
ATOMIC_POSITIONS crystal
H 0.1424 0.1424 0.5729
H 0.8576 0.8576 0.4271
Pd 0.0000 0.0000 0.0000
Pm 0.5000 0.5000 0.5000
CELL_PARAMETERS angstrom
-2.8011 0.0978 3.0263
0.3071 -2.6097 3.1796
1.3822 1.8150 4.0317
```

---

Record 12
The following is a PBE-GGA calculation of a relaxed Ba2Ge2Ru2C crystal, from Alexandria. Values from VASP.

E = -6.22 eV per atom
ΔH_f (0 K) = -0.38 eV/atom

```
&SYSTEM
  ibrav = 0, nat = 7, ntyp = 4
/
ATOMIC_SPECIES
Ba 137.33 Ba.upf
Ge 72.64 Ge.upf
Ru 101.07 Ru.upf
C 12.01 C.upf
ATOMIC_POSITIONS crystal
Ba 0.5592 0.1958 0.6858
Ba 0.4408 0.8042 0.3142
Ge 0.2021 0.3675 0.2282
Ge 0.7979 0.6325 0.7718
Ru 0.1808 0.7056 0.9327
Ru 0.8192 0.2944 0.0673
C 0.0000 0.0000 0.0000
CELL_PARAMETERS angstrom
-0.1527 -4.2907 0.3847
2.2322 -1.7428 5.6000
-5.5072 -1.6173 3.9265
```

---

Record 13
The following is a PBE-GGA calculation of a relaxed V3In5S12 crystal, from Alexandria. Values from VASP.

E = -4.88 eV per atom

```
&SYSTEM
  ibrav = 0, nat = 80, ntyp = 3
/
ATOMIC_SPECIES
V 50.94 V.upf
In 114.82 In.upf
S 32.06 S.upf
ATOMIC_POSITIONS crystal
V 0.7500 0.3750 0.1250
V 0.8750 0.7500 0.1250
V 0.3750 0.7500 0.6250
V 0.2500 0.1250 0.3750
V 0.8750 0.1250 0.2500
V 0.3750 0.6250 0.2500
V 0.6250 0.3750 0.7500
V 0.1250 0.8750 0.7500
V 0.7500 0.8750 0.6250
V 0.6250 0.2500 0.3750
V 0.1250 0.2500 0.8750
V 0.2500 0.6250 0.8750
In 0.1250 0.3750 0.2500
In 0.0000 0.5000 0.0000
In 0.0000 0.0000 0.0000
In 0.3750 0.2500 0.1250
In 0.5000 0.0000 0.5000
In 0.5000 0.5000 0.0000
In 0.1250 0.7500 0.3750
In 0.7500 0.1250 0.8750
In 0.7500 0.6250 0.3750
In 0.3750 0.1250 0.7500
In 0.6250 0.8750 0.2500
In 0.5000 0.5000 0.5000
In 0.5000 0.0000 0.0000
In 0.0000 0.0000 0.5000
In 0.2500 0.3750 0.6250
In 0.2500 0.8750 0.1250
In 0.0000 0.5000 0.5000
In 0.8750 0.2500 0.6250
In 0.6250 0.7500 0.8750
In 0.8750 0.6250 0.7500
S 0.7275 0.1371 0.0557
S 0.3282 0.5557 0.4187
S 0.9443 0.3629 0.2725
S 0.5557 0.2275 0.1371
S 0.5904 0.7275 0.6718
S 0.9443 0.5813 0.1718
S 0.3282 0.7725 0.4096
S 0.0813 0.9096 0.1371
S 0.5813 0.9443 0.6718
S 0.7275 0.5904 0.1718
S 0.7725 0.4443 0.3629
S 0.8282 0.9187 0.0557
S 0.1371 0.7275 0.5557
S 0.3629 0.4187 0.0904
S 0.0904 0.9187 0.3629
S 0.4096 0.1371 0.5813
S 0.0904 0.1718 0.2275
S 0.4443 0.6718 0.0813
S 0.8282 0.9096 0.2725
S 0.1371 0.4096 0.0813
S 0.3629 0.9443 0.7725
S 0.5813 0.6371 0.4096
S 0.9187 0.8282 0.5557
S 0.7725 0.3282 0.9096
S 0.4187 0.3629 0.5904
S 0.0813 0.1718 0.4443
S 0.2275 0.6718 0.0904
S 0.1718 0.0904 0.7275
S 0.6371 0.0557 0.2275
S 0.8629 0.5904 0.9187
S 0.5557 0.3282 0.9187
S 0.5904 0.8629 0.4187
S 0.9096 0.8282 0.7725
S 0.9096 0.0813 0.6371
S 0.8629 0.2725 0.4443
S 0.1718 0.0813 0.9443
S 0.6371 0.5813 0.9096
S 0.4187 0.0557 0.3282
S 0.2725 0.4096 0.8282
S 0.2275 0.5557 0.6371
S 0.9187 0.0904 0.8629
S 0.6718 0.2275 0.5904
S 0.4443 0.7725 0.8629
S 0.0557 0.4187 0.8282
S 0.4096 0.2725 0.3282
S 0.0557 0.6371 0.7275
S 0.6718 0.4443 0.5813
S 0.2725 0.8629 0.9443
CELL_PARAMETERS angstrom
13.0981 0.0000 0.0000
-4.3660 12.3490 0.0000
-4.3660 -6.1745 10.6945
```

---

Record 14
The following is a PBE-GGA calculation of a relaxed CrSb2Te crystal, from Alexandria. Values from VASP.

E = -5.16 eV per atom
Energy above the most stable polymorph in this dataset = 0.0 meV/atom

```
&SYSTEM
  ibrav = 0, nat = 4, ntyp = 3
/
ATOMIC_SPECIES
Cr 52.00 Cr.upf
Sb 121.76 Sb.upf
Te 127.60 Te.upf
ATOMIC_POSITIONS crystal
Cr 0.5000 0.7500 0.7500
Sb 0.0000 0.9259 0.9258
Sb 0.0000 0.5741 0.5742
Te 0.5000 0.2500 0.2500
CELL_PARAMETERS angstrom
-0.7309 -3.8375 0.0666
2.1050 -0.3046 5.5449
-2.8258 0.6283 5.1856
```

---

Record 15
The following is a PBE-GGA calculation of a relaxed Tl8In3Pb2 crystal, from Alexandria. Values from VASP.

E = -2.59 eV per atom
Energy above the most stable polymorph in this dataset = 0.0 meV/atom
ΔH_f (0 K) = 0.07 eV/atom

```
&SYSTEM
  ibrav = 0, nat = 13, ntyp = 3
/
ATOMIC_SPECIES
Tl 204.38 Tl.upf
In 114.82 In.upf
Pb 207.20 Pb.upf
ATOMIC_POSITIONS crystal
Tl 0.8972 0.5968 0.1937
Tl 0.1028 0.4032 0.8063
Tl 0.7571 0.2051 0.4103
Tl 0.2429 0.7949 0.5897
Tl 0.5576 0.5703 0.7699
Tl 0.5576 0.1995 0.7699
Tl 0.4424 0.8005 0.2301
Tl 0.4424 0.4297 0.2301
In 0.5000 0.0000 0.0000
In 0.0000 0.1761 0.0000
In 0.0000 0.8239 0.0000
Pb 0.2385 0.1914 0.3827
Pb 0.7615 0.8086 0.6173
CELL_PARAMETERS angstrom
6.6690 0.0000 0.6707
0.0000 8.7606 0.0000
-2.0737 -4.3803 6.9933
```

---

Record 16
The following is a PBE-GGA calculation of a relaxed Tb2NdAu crystal, from Alexandria. Values from VASP.

E = -4.73 eV per atom
Energy above the most stable polymorph in this dataset = 19.9 meV/atom
ΔH_f (0 K) = -0.40 eV/atom

```
&SYSTEM
  ibrav = 0, nat = 8, ntyp = 3
/
ATOMIC_SPECIES
Tb 158.93 Tb.upf
Nd 144.24 Nd.upf
Au 196.97 Au.upf
ATOMIC_POSITIONS crystal
Tb 0.3552 0.7105 0.5344
Tb 0.6448 0.2895 0.4656
Tb 0.3552 0.7105 0.9656
Tb 0.6448 0.2895 0.0344
Nd 0.9517 0.9035 0.2500
Nd 0.0483 0.0965 0.7500
Au 0.7961 0.5924 0.7500
Au 0.2039 0.4076 0.2500
CELL_PARAMETERS angstrom
-2.9098 -2.6821 3.0113
1.9407 -3.3912 -5.2543
6.3128 -2.4532 3.9150
```

---

Record 17
The following is a PBE-GGA calculation of a relaxed Zn2MoPb crystal, from Alexandria. Values from VASP.

E = -3.87 eV per atom
ΔH_f (0 K) = 0.40 eV/atom

```
&SYSTEM
  ibrav = 0, nat = 4, ntyp = 3
/
ATOMIC_SPECIES
Mo 95.94 Mo.upf
Pb 207.20 Pb.upf
Zn 65.41 Zn.upf
ATOMIC_POSITIONS crystal
Mo 0.5000 0.5000 0.2500
Pb 0.5000 0.5000 0.7500
Zn 0.0000 0.0000 0.0409
Zn 0.0000 0.0000 0.4591
CELL_PARAMETERS angstrom
3.5568 0.0000 0.0000
0.0000 3.5568 0.0000
0.0000 0.0000 5.7797
```

---

Record 18
The following is a PBE-GGA calculation of a relaxed CoOsRhW2 crystal, from Alexandria. Values from VASP.

E = -8.14 eV per atom
ΔH_f (0 K) = 2.18 eV/atom

```
&SYSTEM
  ibrav = 0, nat = 5, ntyp = 4
/
ATOMIC_SPECIES
Rh 102.91 Rh.upf
Os 190.23 Os.upf
W 183.84 W.upf
Co 58.93 Co.upf
ATOMIC_POSITIONS crystal
Rh 0.0000 0.5000 0.0000
Os 0.0000 0.0000 0.0000
W 0.0000 0.0000 0.5000
W 0.5000 0.0000 0.0000
Co 0.5000 0.5000 0.5000
CELL_PARAMETERS angstrom
-3.5478 0.3263 -3.0493
2.8796 -1.2814 -3.4875
-1.0733 -4.5001 0.7673
```

---

Record 19
The following is a PBE-GGA calculation of a relaxed Dy6In3Pb crystal, from Alexandria. Values from VASP.

E = -4.22 eV per atom
ΔH_f (0 K) = -0.27 eV/atom

```
&SYSTEM
  ibrav = 0, nat = 20, ntyp = 3
/
ATOMIC_SPECIES
Dy 162.50 Dy.upf
In 114.82 In.upf
Pb 207.20 Pb.upf
ATOMIC_POSITIONS crystal
Dy 0.0544 0.7487 0.6367
Dy 0.5544 0.6367 0.7487
Dy 0.3012 0.4538 0.9065
Dy 0.8012 0.9065 0.4538
Dy 0.2740 0.9853 0.0147
Dy 0.7873 0.2957 0.7044
Dy 0.2873 0.7044 0.2957
Dy 0.7740 0.0147 0.9853
Dy 0.3012 0.0935 0.5462
Dy 0.8012 0.5462 0.0935
Dy 0.0544 0.3633 0.2513
Dy 0.5544 0.2513 0.3633
In 0.4954 0.9103 0.6869
In 0.9954 0.6869 0.9103
In 0.1588 0.4151 0.5849
In 0.6588 0.5849 0.4151
In 0.9954 0.0897 0.3131
In 0.4954 0.3131 0.0897
Pb 0.0634 0.1510 0.8490
Pb 0.5634 0.8490 0.1510
CELL_PARAMETERS angstrom
6.7522 0.0000 0.0000
0.0000 9.9728 -1.6848
0.0000 -3.8677 9.3453
```

---

Record 20
The following is a PBE-GGA calculation of a relaxed Pr4Nd3TmS8 crystal, from Alexandria. Values from VASP.

E = -6.44 eV per atom

```
&SYSTEM
  ibrav = 0, nat = 16, ntyp = 4
/
ATOMIC_SPECIES
Pr 140.91 Pr.upf
Nd 144.24 Nd.upf
Tm 168.93 Tm.upf
S 32.06 S.upf
ATOMIC_POSITIONS crystal
Pr 0.5000 0.0000 0.0000
Pr 0.5000 0.0000 0.5000
Pr 0.0000 0.0000 0.0000
Pr 0.0000 0.0000 0.5000
Nd 0.5000 0.5000 0.0000
Nd 0.5000 0.5000 0.5000
Nd 0.0000 0.5000 0.5000
Tm 0.0000 0.5000 0.0000
S 0.2403 0.7381 0.9978
S 0.2403 0.7381 0.4805
S 0.2511 0.2534 0.5023
S 0.7576 0.7381 0.9978
S 0.2424 0.2619 0.0022
S 0.7489 0.7466 0.4977
S 0.7597 0.2619 0.5195
S 0.7597 0.2619 0.0022
CELL_PARAMETERS angstrom
8.1161 0.0000 0.0000
0.0000 8.1373 0.0091
-4.0581 -4.0540 5.7403
```